Compound: CaSmZnSi
Source: Alexandria via LeMat-Bulk
Functional: PBE-GGA
Structure: relaxed Values from VASP.

Summary:
Space group: F-43m, No. 216
Energy relative to the elements, uncorrected in meV/atom: -369

Geometry as Quantum ESPRESSO input:
```
&SYSTEM
  ibrav = 0, nat = 4, ntyp = 4
/
ATOMIC_SPECIES
Ca 40.08 Ca.upf
Sm 150.36 Sm.upf
Zn 65.41 Zn.upf
Si 28.09 Si.upf
CELL_PARAMETERS angstrom
0.000 3.600 3.600
3.600 0.000 3.600
3.600 3.600 0.000
ATOMIC_POSITIONS crystal
Ca 0.000 0.000 0.000
Sm 0.500 0.500 0.500
Zn 0.250 0.250 0.250
Si 0.750 0.750 0.750
```